1.
K2AgF5 | PBE-GGA | optimized geometry

Unit cell a=5.1552 b=6.2860 c=6.5017 alpha=97.05 beta=113.09 gamma=114.19
Last column: nearest neighbours and their distance in Å.
Sites, in units of the cell vectors:
K  0.0268  0.2964  0.2551  6 F 2.58-2.81
K  0.9732  0.7036  0.7449  6 F 2.58-2.81
Ag  0.5000  0.0000  0.5000  4 F 1.97-2.02
F  0.0000  0.0000  0.5000  2 Ag 2.58, 2 K 2.59
F  0.2157  0.7389  0.1859  1 Ag 1.97
F  0.4416  0.7336  0.6511  1 Ag 2.02
F  0.5584  0.2664  0.3489  1 Ag 2.02
F  0.7843  0.2611  0.8141  1 Ag 1.97

Output
* space-group type: No. 2
* offset from the most stable computed form: 0.210 eV/f.u.



2.
ThGaHg | PBE-GGA | optimized geometry

Unit cell a=6.4136 b=6.4136 c=5.6729 alpha=94.72 beta=94.72 gamma=39.50
Last column: nearest neighbours and their distance in Å.
Sites, in units of the cell vectors:
Th  0.1179  0.1179  0.3282  4 Ga 3.08-3.15, 2 Hg 3.25
Th  0.8821  0.8821  0.6718  4 Ga 3.08-3.15, 2 Hg 3.25
Ga  0.2250  0.2250  0.8417  3 Hg 2.79-3.00, 2 Ga 2.85, 3 Th 3.08-3.09
Ga  0.7750  0.7750  0.1583  3 Hg 2.79-3.00, 2 Ga 2.85, 3 Th 3.08-3.09
Hg  0.4212  0.4212  0.2045  3 Ga 2.79-3.00, 1 Hg 3.13
Hg  0.5788  0.5788  0.7955  3 Ga 2.79-3.00, 1 Hg 3.13

Output
* space-group type: No. 12
* offset from the most stable computed form: 0.201 eV/f.u.



3.
BaGa2Pt | PBE-GGA | optimized geometry

Unit cell a=6.5647 b=6.5647 c=6.5647 alpha=38.59 beta=38.59 gamma=38.59
Last column: nearest neighbours and their distance in Å.
Sites, in units of the cell vectors:
Ba  0.0000  0.0000  0.0000  8 Ga 3.43-3.73
Ga  0.2050  0.2050  0.2050  3 Pt 2.60, 3 Ga 2.87
Ga  0.7950  0.7950  0.7950  3 Pt 2.60, 3 Ga 2.87
Pt  0.5000  0.5000  0.5000  6 Ga 2.60

Output
* energy: -16.68 eV per formula unit
* space-group type: No. 166



4.
Ba3CrGe | PBE-GGA | optimized geometry

Unit cell a=6.4153 b=6.4153 c=6.4153 alpha=90.00 beta=90.00 gamma=90.00
Last column: nearest neighbours and their distance in Å.
Sites, in units of the cell vectors:
Ba  0.0000  0.0000  0.5000  2 Ge 3.21
Ba  0.0000  0.5000  0.0000  2 Ge 3.21
Ba  0.5000  0.0000  0.0000  2 Ge 3.21
Cr  0.5000  0.5000  0.5000  12 Ba 4.54
Ge  0.0000  0.0000  0.0000  6 Ba 3.21

Output
* space-group type: No. 221
* offset from the most stable computed form: 0.000 eV/f.u.



5.
Mg3RuPt12 | PBE-GGA | optimized geometry

Unit cell a=3.9421 b=3.9421 c=15.9133 alpha=90.00 beta=90.00 gamma=90.00
Last column: nearest neighbours and their distance in Å.
Sites, in units of the cell vectors:
Mg  0.0000  0.0000  0.0000  12 Pt 2.79-2.80
Mg  0.0000  0.0000  0.2484  12 Pt 2.78-2.85
Mg  0.0000  0.0000  0.7516  12 Pt 2.78-2.85
Ru  0.0000  0.0000  0.5000  12 Pt 2.77-2.79
Pt  0.0000  0.5000  0.1248  4 Mg 2.78-2.80, 8 Pt 2.79-2.81
Pt  0.0000  0.5000  0.3774  8 Pt 2.77-2.82, 2 Ru 2.77, 2 Mg 2.85
Pt  0.0000  0.5000  0.6226  2 Ru 2.77, 8 Pt 2.77-2.82, 2 Mg 2.85
Pt  0.0000  0.5000  0.8752  4 Mg 2.78-2.80, 8 Pt 2.79-2.81
Pt  0.5000  0.0000  0.1248  4 Mg 2.78-2.80, 8 Pt 2.79-2.81
Pt  0.5000  0.0000  0.3774  8 Pt 2.77-2.82, 2 Ru 2.77, 2 Mg 2.85
Pt  0.5000  0.0000  0.6226  2 Ru 2.77, 8 Pt 2.77-2.82, 2 Mg 2.85
Pt  0.5000  0.0000  0.8752  4 Mg 2.78-2.80, 8 Pt 2.79-2.81
Pt  0.5000  0.5000  0.0000  4 Mg 2.79, 8 Pt 2.80
Pt  0.5000  0.5000  0.2506  4 Mg 2.79, 8 Pt 2.81-2.82
Pt  0.5000  0.5000  0.5000  8 Pt 2.77, 4 Ru 2.79
Pt  0.5000  0.5000  0.7494  4 Mg 2.79, 8 Pt 2.81-2.82

Output
* energy: -93.68 eV per formula unit
* space-group type: No. 123



6.
Tb6InHg2 | PBE-GGA | optimized geometry

Unit cell a=8.8209 b=8.8209 c=8.8209 alpha=110.99 beta=109.78 gamma=107.66
Last column: nearest neighbours and their distance in Å.
Sites, in units of the cell vectors:
Tb  0.0447  0.8234  0.2212  3 Hg 2.96-3.27
Tb  0.2479  0.5476  0.2997  2 Hg 2.98-3.22, 2 In 3.27-3.30
Tb  0.2479  0.9482  0.7003  2 Hg 2.98-3.22, 2 In 3.27-3.30
Tb  0.2711  0.3204  0.5915  3 Hg 3.23-3.27, 1 In 3.28, 1 Tb 3.59
Tb  0.2711  0.6796  0.9507  3 Hg 3.23-3.27, 1 In 3.28, 1 Tb 3.59
Tb  0.3978  0.1766  0.2212  3 Hg 2.96-3.27
Tb  0.6022  0.8234  0.7788  3 Hg 2.96-3.27
Tb  0.7289  0.3204  0.0493  3 Hg 3.23-3.27, 1 In 3.28, 1 Tb 3.59
Tb  0.7289  0.6796  0.4085  3 Hg 3.23-3.27, 1 In 3.28, 1 Tb 3.59
Tb  0.7521  0.0518  0.2997  2 Hg 2.98-3.22, 2 In 3.27-3.30
Tb  0.7521  0.4524  0.7003  2 Hg 2.98-3.22, 2 In 3.27-3.30
Tb  0.9553  0.1766  0.7788  3 Hg 2.96-3.27
In  0.0000  0.5000  0.5000  8 Tb 3.27-3.28, 2 Hg 3.49
In  0.5000  0.0000  0.5000  8 Tb 3.30-3.37
Hg  0.0000  0.1505  0.1505  8 Tb 2.98-3.27, 1 Hg 3.01
Hg  0.0000  0.8495  0.8495  8 Tb 2.98-3.27, 1 Hg 3.01
Hg  0.3623  0.3623  0.0000  1 Hg 2.87, 2 Tb 2.96
Hg  0.6377  0.6377  0.0000  1 Hg 2.87, 2 Tb 2.96

Output
* energy: -33.71 eV per formula unit
* space-group type: No. 71



7.
Li2Ca4Cl9 | PBE-GGA | optimized geometry

Unit cell a=6.8594 b=6.8594 c=18.6389 alpha=90.01 beta=90.01 gamma=59.99
Last column: nearest neighbours and their distance in Å.
Sites, in units of the cell vectors:
Li  0.9997  0.0006  0.6587  6 Cl 2.65-2.66
Li  0.0003  0.9994  0.3413  6 Cl 2.65-2.66
Li  0.0006  0.9997  0.1587  6 Cl 2.65-2.66
Li  0.9994  0.0003  0.8413  6 Cl 2.65-2.66
Ca  0.3329  0.3339  0.6812  6 Cl 2.74-2.81
Ca  0.3331  0.3337  0.9868  6 Cl 2.77-2.83
Ca  0.3339  0.3329  0.1812  6 Cl 2.74-2.81
Ca  0.3337  0.3331  0.4868  6 Cl 2.77-2.83
Ca  0.6663  0.6669  0.5132  6 Cl 2.77-2.83
Ca  0.6661  0.6671  0.8188  6 Cl 2.74-2.81
Ca  0.6669  0.6663  0.0132  6 Cl 2.77-2.83
Ca  0.6671  0.6661  0.3188  6 Cl 2.74-2.81
Cl  0.0009  0.7033  0.2501  2 Li 2.65, 2 Ca 2.74
Cl  0.0263  0.3185  0.0852  1 Li 2.66, 3 Ca 2.77-2.83
Cl  0.0262  0.6554  0.5850  1 Li 2.66, 3 Ca 2.78-2.83
Cl  0.2954  0.7046  0.7500  2 Li 2.65, 2 Ca 2.74
Cl  0.2967  0.9991  0.2499  2 Li 2.65, 2 Ca 2.74
Cl  0.3185  0.0263  0.5852  1 Li 2.66, 3 Ca 2.77-2.83
Cl  0.3186  0.6550  0.0852  1 Li 2.66, 3 Ca 2.78-2.83
Cl  0.3450  0.6814  0.4148  1 Li 2.66, 3 Ca 2.78-2.83
Cl  0.3446  0.9738  0.9150  1 Li 2.66, 3 Ca 2.78-2.83
Cl  0.6554  0.0262  0.0850  1 Li 2.66, 3 Ca 2.78-2.83
Cl  0.6550  0.3186  0.5852  1 Li 2.66, 3 Ca 2.78-2.83
Cl  0.6814  0.3450  0.9148  1 Li 2.66, 3 Ca 2.78-2.83
Cl  0.6815  0.9737  0.4148  1 Li 2.66, 3 Ca 2.77-2.83
Cl  0.7033  0.0009  0.7501  2 Li 2.65, 2 Ca 2.74
Cl  0.7046  0.2954  0.2500  2 Li 2.65, 2 Ca 2.74
Cl  0.9738  0.3446  0.4150  1 Li 2.66, 3 Ca 2.78-2.83
Cl  0.9737  0.6815  0.9148  1 Li 2.66, 3 Ca 2.77-2.83
Cl  0.9991  0.2967  0.7499  2 Li 2.65, 2 Ca 2.74

Output
* energy: -59.43 eV per formula unit
* space-group type: No. 15



8.
NdYAlZn | PBE-GGA | optimized geometry

Unit cell a=5.1786 b=5.1786 c=5.1786 alpha=60.00 beta=60.00 gamma=60.00
Last column: nearest neighbours and their distance in Å.
Sites, in units of the cell vectors:
Nd  0.0000  0.0000  0.0000  4 Al 3.17, 4 Zn 3.17
Y  0.5000  0.5000  0.5000  4 Zn 3.17, 4 Al 3.17
Al  0.2500  0.2500  0.2500  4 Y 3.17, 4 Nd 3.17
Zn  0.7500  0.7500  0.7500  4 Y 3.17, 4 Nd 3.17

Output
* energy: -17.69 eV per formula unit
* space-group type: No. 216



9.
BaAs2W | PBE-GGA | optimized geometry

Unit cell a=3.9106 b=3.9106 c=7.6142 alpha=104.75 beta=104.75 gamma=59.72
Last column: nearest neighbours and their distance in Å.
Sites, in units of the cell vectors:
Ba  0.0000  0.0000  0.0000  6 As 3.21
As  0.2289  0.2289  0.6867  3 W 2.63
As  0.7711  0.7711  0.3133  3 W 2.63
W  0.5000  0.5000  0.5000  6 As 2.63

Output
* space-group type: No. 12
* offset from the most stable computed form: 0.000 eV/f.u.



10.
Ac2NdBi3Rh4 | PBE-GGA | optimized geometry

Unit cell a=4.6854 b=4.6854 c=11.5388 alpha=90.00 beta=90.00 gamma=90.00
Last column: nearest neighbours and their distance in Å.
Sites, in units of the cell vectors:
Ac  0.0000  0.5000  0.2271  8 Rh 3.52-3.63, 6 Bi 3.52-3.92, 2 Nd 3.92
Ac  0.5000  0.0000  0.7729  8 Rh 3.52-3.63, 6 Bi 3.52-3.92, 2 Nd 3.92
Nd  0.0000  0.0000  0.5000  4 Rh 2.87
Bi  0.0000  0.5000  0.8759  5 Rh 2.67-2.75
Bi  0.5000  0.0000  0.1241  5 Rh 2.67-2.75
Bi  0.5000  0.5000  0.5000  4 Rh 2.87
Rh  0.0000  0.0000  0.0000  4 Bi 2.75
Rh  0.0000  0.5000  0.6440  3 Bi 2.67-2.87, 2 Nd 2.87
Rh  0.5000  0.0000  0.3560  3 Bi 2.67-2.87, 2 Nd 2.87
Rh  0.5000  0.5000  0.0000  4 Bi 2.75

Output
* energy: -60.03 eV per formula unit
* space-group type: No. 115



11.
AcAl2GaNi2 | PBE-GGA | optimized geometry

Unit cell a=4.4358 b=4.4358 c=6.0198 alpha=90.00 beta=90.00 gamma=90.00
Last column: nearest neighbours and their distance in Å.
Sites, in units of the cell vectors:
Ac  0.0000  0.0000  0.0000  2 Ga 3.01
Al  0.5000  0.5000  0.2706  4 Ni 2.61, 1 Al 2.76
Al  0.5000  0.5000  0.7294  4 Ni 2.61, 1 Al 2.76
Ga  0.0000  0.0000  0.5000  4 Ni 2.22
Ni  0.0000  0.5000  0.5000  2 Ga 2.22
Ni  0.5000  0.0000  0.5000  2 Ga 2.22

Output
* energy: -28.02 eV per formula unit
* space-group type: No. 123



12.
Tb3Pr7Er | PBE-GGA | optimized geometry

Unit cell a=8.6378 b=8.6378 c=8.6378 alpha=139.58 beta=96.87 gamma=96.84
Last column: nearest neighbours and their distance in Å.
Sites, in units of the cell vectors:
Tb  0.0000  0.0000  0.0000  4 Pr 3.27
Tb  0.2053  0.7053  0.5000  9 Pr 3.36-3.71
Tb  0.7947  0.2947  0.5000  9 Pr 3.36-3.71
Pr  0.0180  0.2103  0.8077  2 Tb 3.27-3.66, 3 Pr 3.39-3.51
Pr  0.2097  0.5000  0.7097  1 Er 3.33, 2 Tb 3.36, 2 Pr 3.51
Pr  0.4026  0.2103  0.1923  2 Tb 3.27-3.66, 3 Pr 3.39-3.51
Pr  0.5000  0.0000  0.5000  2 Er 2.98
Pr  0.5974  0.7897  0.8077  2 Tb 3.27-3.66, 3 Pr 3.39-3.51
Pr  0.7903  0.5000  0.2903  1 Er 3.33, 2 Tb 3.36, 2 Pr 3.51
Pr  0.9820  0.7897  0.1923  2 Tb 3.27-3.66, 3 Pr 3.39-3.51
Er  0.5000  0.5000  0.0000  4 Pr 2.98-3.33

Output
* space-group type: No. 71
* offset from the most stable computed form: 0.419 eV/f.u.